Record 1
## Li4Sm3PaS8 (PBE)

Data for crystalline Li4Sm3PaS8 at its relaxed geometry.

POSCAR file:
```
Li4Sm3PaS8
1.0
3.9692 2.2916 6.2088
-3.9692 2.2916 6.2088
0.0000 -4.5832 6.2088
Li Sm Pa S
4 3 1 8
direct
0.0000 0.0000 0.0000
0.0000 0.5000 0.5000
0.5000 0.0000 0.5000
0.5000 0.5000 0.0000
0.0000 0.0000 0.5000
0.0000 0.5000 0.0000
0.5000 0.0000 0.0000
0.5000 0.5000 0.5000
0.2515 0.2515 0.7402
0.2515 0.7402 0.2515
0.2528 0.2528 0.2528
0.2598 0.7485 0.7485
0.7402 0.2515 0.2515
0.7472 0.7472 0.7472
0.7485 0.2598 0.7485
0.7485 0.7485 0.2598
```

**Total magnetic moment**: 0.10 μB per atom
**ΔE_f (raw)**: -1.70 eV/atom

***

Record 2
## LiSmPa2S4 (PBE)

Data for crystalline LiSmPa2S4 at its relaxed geometry.

POSCAR file:
```
LiSmPa2S4
1.0
6.6302 0.0000 0.0000
0.0000 3.8442 0.0000
-2.2260 0.0000 6.5814
Li Sm Pa S
1 1 2 4
direct
0.0000 0.0000 0.0000
0.5000 0.5000 0.0000
0.0000 0.5000 0.5000
0.5000 0.0000 0.5000
0.2375 0.5000 0.2428
0.2392 0.0000 0.7533
0.7608 0.0000 0.2467
0.7625 0.5000 0.7572
```

**Total magnetic moment**: 0.12 μB per atom
**ΔE_f (raw)**: -1.63 eV/atom

***

Record 3
## Li2Sm2PaS6 (PBE)

Data for crystalline Li2Sm2PaS6 at its relaxed geometry.

POSCAR file:
```
Li2Sm2PaS6
1.0
3.4946 -6.0232 0.0000
3.4946 6.0232 0.0000
-2.2071 0.0000 6.1658
Li Sm Pa S
2 2 1 6
direct
0.1622 0.8378 0.0000
0.8378 0.1622 0.0000
0.3352 0.6648 0.5000
0.6648 0.3352 0.5000
0.0000 0.0000 0.5000
0.0707 0.4000 0.7462
0.2370 0.2370 0.2525
0.4000 0.0707 0.7462
0.6000 0.9293 0.2538
0.7630 0.7630 0.7475
0.9293 0.6000 0.2538
```

**Total magnetic moment**: 0.09 μB per atom
**ΔE_f (raw)**: -1.73 eV/atom

***

Record 4
## Li3Sm2PaS6 (PBE)

Data for crystalline Li3Sm2PaS6 at its relaxed geometry.

POSCAR file:
```
Li3Sm2PaS6
1.0
3.4153 -5.9177 0.0000
3.4153 5.9177 0.0000
-2.2800 0.0000 6.2235
Li Sm Pa S
3 2 1 6
direct
0.0000 0.0000 0.0000
0.3354 0.6646 0.0000
0.6646 0.3354 0.0000
0.1671 0.8329 0.5000
0.8329 0.1671 0.5000
0.5000 0.5000 0.5000
0.0907 0.4133 0.2405
0.2624 0.2624 0.7558
0.4133 0.0907 0.2405
0.5867 0.9093 0.7595
0.7376 0.7376 0.2442
0.9093 0.5867 0.7595
```

**Total magnetic moment**: 0.10 μB per atom
**ΔE_f (raw)**: -1.68 eV/atom

***

Record 5
## LiSm3Pa3S8 (PBE)

Data for crystalline LiSm3Pa3S8 at its relaxed geometry.

POSCAR file:
```
LiSm3Pa3S8
1.0
3.9015 2.2525 6.4940
-3.9015 2.2525 6.4940
0.0000 -4.5051 6.4940
Li Sm Pa S
1 3 3 8
direct
0.0000 0.0000 0.0000
0.0000 0.0000 0.5000
0.0000 0.5000 0.0000
0.5000 0.0000 0.0000
0.0000 0.5000 0.5000
0.5000 0.0000 0.5000
0.5000 0.5000 0.0000
0.2446 0.2446 0.7492
0.2446 0.7492 0.2446
0.2513 0.2513 0.2513
0.2508 0.7554 0.7554
0.7492 0.2446 0.2446
0.7487 0.7487 0.7487
0.7554 0.2508 0.7554
0.7554 0.7554 0.2508
```

**Total magnetic moment**: 0.15 μB per atom
**ΔE_f (raw)**: -1.77 eV/atom

***

Record 6
## LiSm2PaS6 (PBE)

Data for crystalline LiSm2PaS6 at its relaxed geometry.

POSCAR file:
```
LiSm2PaS6
1.0
6.4205 0.0000 0.0000
0.0000 6.4205 0.0000
0.0000 0.0000 6.3550
Li Sm Pa S
1 2 1 6
direct
0.0000 0.0000 0.0000
0.0000 0.5000 0.4537
0.5000 0.0000 0.4537
0.5000 0.5000 0.0524
0.0000 0.0000 0.6312
0.2404 0.2404 0.1995
0.2404 0.7596 0.1995
0.5000 0.5000 0.6326
0.7596 0.2404 0.1995
0.7596 0.7596 0.1995
```

**Total magnetic moment**: 0.00 μB per atom
**ΔE_f (raw)**: -1.46 eV/atom

***

Record 7
## LiPaSn2S5 (PBE)

Data for crystalline LiPaSn2S5 at its relaxed geometry.

POSCAR file:
```
LiPaSn2S5
1.0
2.0124 -8.7115 0.0000
2.0124 8.7115 0.0000
0.0000 0.0000 13.2061
Li Pa Sn S
2 2 4 10
direct
0.0563 0.9437 0.5000
0.9437 0.0563 0.0000
0.2832 0.7168 0.0749
0.7168 0.2832 0.5749
0.3991 0.6009 0.6866
0.4082 0.5918 0.3166
0.5918 0.4082 0.8166
0.6009 0.3991 0.1866
0.0068 0.9932 0.3255
0.1314 0.8686 0.0531
0.1990 0.8010 0.4495
0.2383 0.7617 0.7072
0.4328 0.5672 0.1092
0.5672 0.4328 0.6092
0.7617 0.2383 0.2072
0.8010 0.1990 0.9495
0.8686 0.1314 0.5531
0.9932 0.0068 0.8255
```

**Total magnetic moment**: 0.00 μB per atom
**ΔE_f (raw)**: -1.01 eV/atom

***

Record 8
## Sr2Li3PaS6 (PBE)

Data for crystalline Sr2Li3PaS6 at its relaxed geometry.

POSCAR file:
```
Sr2Li3PaS6
1.0
3.5239 -6.4112 0.0000
3.5239 6.4112 0.0000
-2.0493 0.0000 6.2028
Sr Li Pa S
2 3 1 6
direct
0.1717 0.8283 0.0000
0.8283 0.1717 0.0000
0.0000 0.0000 0.5000
0.3773 0.6227 0.5000
0.6227 0.3773 0.5000
0.5000 0.5000 0.0000
0.1325 0.4256 0.7463
0.2586 0.2586 0.2442
0.4256 0.1325 0.7463
0.5744 0.8675 0.2537
0.7414 0.7414 0.7558
0.8675 0.5744 0.2537
```

**Total magnetic moment**: 0.00 μB per atom
**ΔE_f (raw)**: -1.69 eV/atom